[1]
# RbLaHS | Alexandria via LeMat-Bulk | GGA-PBE | relaxed
data_RbLaHS
_chemical_formula_sum 'Rb1 La1 H1 S1'
_symmetry_space_group_name_H-M 'P 1'
_symmetry_Int_Tables_number 1
_cell_length_a 3.7877
_cell_length_b 4.1623
_cell_length_c 7.4762
_cell_angle_alpha 90.17
_cell_angle_beta 104.66
_cell_angle_gamma 90.01
loop_
_symmetry_equiv_pos_as_xyz
'x,y,z'
loop_
_atom_site_label
_atom_site_type_symbol
_atom_site_fract_x
_atom_site_fract_y
_atom_site_fract_z
_atom_site_occupancy
Rb1 Rb 0.0000 0.0000 0.0000 1
La1 La 0.2627 0.4972 0.5275 1
H1 H 0.8610 0.4983 0.7249 1
S1 S 0.7012 0.9964 0.4045 1
# - Raw total energy: -4.320 eV per atom
# - Mass density: 3.75 g cm⁻³

[2]
# RbLaHS | Alexandria via LeMat-Bulk | GGA-PBE | relaxed
data_RbLaHS
_chemical_formula_sum 'Rb3 La3 H3 S3'
_symmetry_space_group_name_H-M 'R 3 m'
_symmetry_Int_Tables_number 160
_symmetry_space_group_name_Hall 'R 3 -2"'
_cell_length_a 4.1434
_cell_length_b 4.1434
_cell_length_c 23.4952
_cell_angle_alpha 90.00
_cell_angle_beta 90.00
_cell_angle_gamma 120.00
loop_
_atom_site_label
_atom_site_type_symbol
_atom_site_fract_x
_atom_site_fract_y
_atom_site_fract_z
_atom_site_occupancy
Rb1 Rb 0.0000 0.0000 0.0000 1
La1 La 0.0000 0.0000 0.8304 1
H1 H 0.0000 0.0000 0.1332 1
S1 S 0.0000 0.0000 0.5659 1
# - Raw total energy: -4.340 eV per atom
# - Mass density: 3.67 g cm⁻³

[3]
# RbLaHS | Alexandria via LeMat-Bulk | GGA-PBE | relaxed
data_RbLaHS
_chemical_formula_sum 'Rb1 La1 H1 S1'
_symmetry_space_group_name_H-M 'P 1'
_symmetry_Int_Tables_number 1
_cell_length_a 4.1737
_cell_length_b 4.1768
_cell_length_c 8.4604
_cell_angle_alpha 77.12
_cell_angle_beta 76.51
_cell_angle_gamma 60.08
loop_
_symmetry_equiv_pos_as_xyz
'x,y,z'
loop_
_atom_site_label
_atom_site_type_symbol
_atom_site_fract_x
_atom_site_fract_y
_atom_site_fract_z
_atom_site_occupancy
Rb1 Rb 0.0000 0.0000 0.0000 1
La1 La 0.4884 0.4677 0.5302 1
H1 H 0.1758 0.1517 0.4678 1
S1 S 0.7587 0.7462 0.7215 1
# - Raw total energy: -4.354 eV per atom
# - Mass density: 3.47 g cm⁻³

[4]
# RbLaHS | Alexandria via LeMat-Bulk | GGA-PBE | relaxed
data_RbLaHS
_chemical_formula_sum 'Rb1 La1 H1 S1'
_symmetry_space_group_name_H-M 'P 4 m m'
_symmetry_Int_Tables_number 99
_cell_length_a 4.0773
_cell_length_b 4.0773
_cell_length_c 6.7706
_cell_angle_alpha 90.00
_cell_angle_beta 90.00
_cell_angle_gamma 90.00
loop_
_symmetry_equiv_pos_as_xyz
'x,y,z'
'-y,x,z'
'-x,-y,z'
'y,-x,z'
'-x,y,z'
'y,x,z'
'x,-y,z'
'-y,-x,z'
loop_
_atom_site_label
_atom_site_type_symbol
_atom_site_fract_x
_atom_site_fract_y
_atom_site_fract_z
_atom_site_occupancy
Rb1 Rb 0.0000 0.0000 0.0000 1
La1 La 0.5000 0.5000 0.5311 1
H1 H 0.5000 0.5000 0.8807 1
S1 S 0.0000 0.0000 0.5061 1
# - Raw total energy: -4.324 eV per atom
# - Mass density: 3.80 g cm⁻³

[5]
# RbLaH2Se | Alexandria via LeMat-Bulk | GGA-PBE | relaxed
data_RbLaH2Se
_chemical_formula_sum 'Rb1 La1 H2 Se1'
_symmetry_space_group_name_H-M 'P 4/m m m'
_symmetry_Int_Tables_number 123
_symmetry_space_group_name_Hall '-P 4 2'
_cell_length_a 4.8300
_cell_length_b 4.8300
_cell_length_c 5.8258
_cell_angle_alpha 90.00
_cell_angle_beta 90.00
_cell_angle_gamma 90.00
loop_
_atom_site_label
_atom_site_type_symbol
_atom_site_fract_x
_atom_site_fract_y
_atom_site_fract_z
_atom_site_occupancy
Rb1 Rb 0.0000 0.0000 0.0000 1
La1 La 0.5000 0.5000 0.5000 1
H1 H 0.0000 0.5000 0.5000 1
Se1 Se 0.5000 0.5000 0.0000 1
# - Raw total energy: -4.041 eV per atom
# - Mass density: 3.73 g cm⁻³

[6]
# RbLaYH2 | Alexandria via LeMat-Bulk | GGA-PBE | relaxed
data_RbLaYH2
_chemical_formula_sum 'Rb1 La1 Y1 H2'
_symmetry_space_group_name_H-M 'P 4/m m m'
_symmetry_Int_Tables_number 123
_symmetry_space_group_name_Hall '-P 4 2'
_cell_length_a 4.8526
_cell_length_b 4.8526
_cell_length_c 6.3669
_cell_angle_alpha 90.00
_cell_angle_beta 90.00
_cell_angle_gamma 90.00
loop_
_atom_site_label
_atom_site_type_symbol
_atom_site_fract_x
_atom_site_fract_y
_atom_site_fract_z
_atom_site_occupancy
Rb1 Rb 0.0000 0.0000 0.0000 1
La1 La 0.0000 0.0000 0.5000 1
Y1 Y 0.5000 0.5000 0.5000 1
H1 H 0.0000 0.5000 0.0000 1
# - Raw total energy: -2.818 eV per atom
# - Mass density: 3.49 g cm⁻³

- The lowest raw total energy belongs to which entry?
  number 3